! HfTe3O (PBE-GGA, optimized geometry); values from VASP
&SYSTEM
  ibrav = 0, nat = 5, ntyp = 3
/
ATOMIC_SPECIES
Hf 178.49 Hf.upf
Te 127.60 Te.upf
O 16.00 O.upf
CELL_PARAMETERS angstrom
4.795 0.000 0.000
0.000 4.795 0.000
0.000 0.000 4.795
ATOMIC_POSITIONS crystal
Hf 0.000 0.000 0.000
Te 0.000 0.500 0.500
Te 0.500 0.000 0.500
Te 0.500 0.500 0.000
O 0.500 0.500 0.500
! raw total energy	-4.8090	eV per atom
! energy above the most stable polymorph in this dataset	0	meV per atom
! ρ	8.69	g cm⁻³